{"formula": "VTcAgO6", "functional": "PBE+U", "state": "relaxed", "vol_a3_per_fu": 111.3, "magnetic_moment_mub_per_cell": 2.0, "dos_ef_per_ev_atom": 0.320, "total_energy_ev_per_atom": -6.83, "lattice_angstrom": [[5.122, 0.000, 0.000], [-2.561, 4.436, 0.000], [0.000, 0.000, 9.799]], "species": ["V", "V", "Tc", "Tc", "Ag", "Ag", "O", "O", "O", "O", "O", "O", "O", "O", "O", "O", "O", "O"], "frac_coords": [[0.667, 0.333, 0.250], [0.333, 0.667, 0.750], [0.333, 0.667, 0.250], [0.667, 0.333, 0.750], [0.000, 0.000, 0.000], [0.000, 0.000, 0.500], [0.624, 0.621, 0.142], [0.997, 0.376, 0.142], [0.376, 0.997, 0.642], [0.003, 0.624, 0.858], [0.379, 0.376, 0.358], [0.997, 0.621, 0.358], [0.621, 0.997, 0.858], [0.624, 0.003, 0.358], [0.003, 0.379, 0.642], [0.379, 0.003, 0.142], [0.621, 0.624, 0.642], [0.376, 0.379, 0.858]]}